(1)
VASP calculation (PBEsol) on MgH6S4O16 after structural relaxation.

VASP energy   -5.95 eV per atom

Cell lengths 5.172, 15.054, 8.223 Å; angles 90.00, 103.73, 90.00 degrees
Space group P2_1/c (No. 14)
Unique sites:
Mg  0.000  0.000  0.000 [2 per cell]
H  0.205  0.236  0.809 [4 per cell]
H  0.287  0.526  0.120 [4 per cell]
H  0.419  0.736  0.828 [4 per cell]
S  0.113  0.664  0.245 [4 per cell]
S  0.425  0.087  0.778 [4 per cell]
O  0.026  0.106  0.165 [4 per cell]
O  0.083  0.226  0.369 [4 per cell]
O  0.266  0.623  0.139 [4 per cell]
O  0.279  0.062  0.901 [4 per cell]
O  0.294  0.564  0.673 [4 per cell]
O  0.294  0.723  0.378 [4 per cell]
O  0.299  0.043  0.608 [4 per cell]
O  0.392  0.184  0.739 [4 per cell]

(2)
VASP calculation (PBEsol) on MgReTe2 after structural relaxation.

VASP energy   -5.24 eV per atom
Raw formation energy   6.68 kcal/mol of atoms

Cell lengths 3.273, 3.273, 7.748 Å; angles 90.00, 90.00, 90.00 degrees
Space group P4/mmm (No. 123)
Unique sites:
Mg  0.000  0.000  0.000 [1 per cell]
Re  0.000  0.000  0.500 [1 per cell]
Te  0.500  0.500  0.285 [2 per cell]

(3)
VASP calculation (PBEsol) on H2RuW2 after structural relaxation.

VASP energy   -8.75 eV per atom

Cell lengths 2.859, 2.859, 12.221 Å; angles 90.00, 90.00, 90.00 degrees
Space group I4/mmm (No. 139)
Unique sites:
H  0.000  0.500  0.250 [4 per cell]
Ru  0.000  0.000  0.000 [2 per cell]
W  0.000  0.000  0.354 [4 per cell]

(4)
VASP calculation (PBEsol) on Ti2Rh after structural relaxation.

ΔH_f (0 K)   -0.622 eV per atom
VASP energy   -8.88 eV per atom

Cell lengths 3.030, 3.030, 9.664 Å; angles 90.00, 90.00, 90.00 degrees
Space group I4/mmm (No. 139)
Unique sites:
Ti  0.000  0.000  0.162 [4 per cell]
Rh  0.000  0.000  0.500 [2 per cell]

(5)
VASP calculation (PBEsol) on K2NaAlH6 after structural relaxation.

VASP energy   -3.00 eV per atom

Cell lengths 7.938, 7.938, 7.938 Å; angles 90.00, 90.00, 90.00 degrees
Space group Fm-3m (No. 225)
Unique sites:
K  0.250  0.250  0.250 [8 per cell]
Na  0.000  0.000  0.000 [4 per cell]
Al  0.000  0.000  0.500 [4 per cell]
H  0.000  0.000  0.278 [24 per cell]

(6)
VASP calculation (PBEsol) on CaTl2Au after structural relaxation.

ΔH_f (0 K)   -0.332 eV per atom
VASP energy   -3.16 eV per atom

Cell lengths 4.467, 4.467, 4.783 Å; angles 90.00, 90.00, 90.00 degrees
Space group P4/mmm (No. 123)
Unique sites:
Ca  0.000  0.000  0.000 [1 per cell]
Tl  0.000  0.500  0.500 [2 per cell]
Au  0.500  0.500  0.000 [1 per cell]

(7)
VASP calculation (PBEsol) on Mn2AsPt after structural relaxation.

ΔH_f (0 K)   0.113 eV per atom
VASP energy   -7.78 eV per atom

Cell lengths 5.860, 5.860, 5.860 Å; angles 90.00, 90.00, 90.00 degrees
Space group Fm-3m (No. 225)
Unique sites:
Mn  0.250  0.250  0.250 [8 per cell]
As  0.000  0.000  0.000 [4 per cell]
Pt  0.000  0.000  0.500 [4 per cell]

(8)
VASP calculation (PBEsol) on Li2Fe3Co3O12 after structural relaxation.

VASP energy   -6.86 eV per atom
Raw formation energy   -23.27 kcal/mol of atoms

Cell lengths 5.467, 5.571, 7.061 Å; angles 80.33, 81.18, 70.28 degrees
Space group P-1 (No. 2)
Unique sites:
Li  0.004  0.239  0.060 [2 per cell]
Fe  0.495  0.170  0.825 [2 per cell]
Fe  0.500  0.500  0.500 [1 per cell]
Co  0.000  0.500  0.500 [1 per cell]
Co  0.499  0.662  0.830 [2 per cell]
O  0.056  0.244  0.340 [2 per cell]
O  0.299  0.307  0.617 [2 per cell]
O  0.299  0.616  0.296 [2 per cell]
O  0.299  0.954  0.958 [2 per cell]
O  0.303  0.449  0.955 [2 per cell]
O  0.333  0.123  0.302 [2 per cell]